Record 1
Computed, not measured: a geometry-optimized AcHg4Bi structure at the PBE level of DFT.

a b c (Å): 6.242 6.242 6.242
angles (deg): 60.00 60.00 60.00
Fractional coordinates of all 6 atoms:
1 Ac 0.000 0.000 0.000
2 Hg 0.128 0.624 0.624
3 Hg 0.624 0.128 0.624
4 Hg 0.624 0.624 0.128
5 Hg 0.624 0.624 0.624
6 Bi 0.250 0.250 0.250

Crystal system ... cubic
Relative energy among the computed polymorphs ... 100 meV/atom

---

Record 2
Computed, not measured: a geometry-optimized Rb2BaNaF5 structure at the PBE level of DFT.

a b c (Å): 7.700 7.700 7.700
angles (deg): 149.22 131.70 58.37
Fractional coordinates of all 9 atoms:
1 Rb 0.202 0.202 0.000
2 Rb 0.798 0.798 0.000
3 Ba 0.500 0.000 0.500
4 Na 0.000 0.500 0.500
5 F 0.000 0.000 0.000
6 F 0.163 0.384 0.779
7 F 0.395 0.616 0.779
8 F 0.605 0.384 0.221
9 F 0.837 0.616 0.221

Crystal system ... orthorhombic
Energy relative to the elements, uncorrected ... -2.974 eV per atom

---

Record 3
Computed, not measured: a geometry-optimized BaMgCo2 structure at the PBE level of DFT.

a b c (Å): 3.670 4.374 12.237
angles (deg): 90.00 90.00 90.00
Fractional coordinates of all 8 atoms:
1 Ba 0.000 0.000 0.000
2 Ba 0.500 0.500 0.500
3 Mg 0.000 0.500 0.248
4 Mg 0.500 0.000 0.748
5 Co 0.000 0.000 0.366
6 Co 0.000 0.500 0.767
7 Co 0.500 0.000 0.267
8 Co 0.500 0.500 0.866

Crystal system ... orthorhombic

---

Record 4
Computed, not measured: a geometry-optimized La5Cd3 structure at the PBE level of DFT.

a b c (Å): 9.585 9.585 6.634
angles (deg): 90.00 90.00 120.00
Fractional coordinates of all 16 atoms:
1 La 0.000 0.235 0.250
2 La 0.000 0.765 0.750
3 La 0.235 0.000 0.250
4 La 0.235 0.235 0.750
5 La 0.333 0.667 0.000
6 La 0.333 0.667 0.500
7 La 0.667 0.333 0.000
8 La 0.667 0.333 0.500
9 La 0.765 0.000 0.750
10 La 0.765 0.765 0.250
11 Cd 0.000 0.403 0.750
12 Cd 0.000 0.597 0.250
13 Cd 0.403 0.000 0.750
14 Cd 0.403 0.403 0.250
15 Cd 0.597 0.000 0.250
16 Cd 0.597 0.597 0.750

Crystal system ... hexagonal
Relative energy among the computed polymorphs ... 60 meV/atom

---

Record 5
Computed, not measured: a geometry-optimized CaPr3Cl structure at the PBE level of DFT.

a b c (Å): 5.569 5.569 5.569
angles (deg): 90.00 90.00 90.00
Fractional coordinates of all 5 atoms:
1 Ca 0.000 0.000 0.000
2 Pr 0.000 0.500 0.500
3 Pr 0.500 0.000 0.500
4 Pr 0.500 0.500 0.000
5 Cl 0.500 0.500 0.500

Crystal system ... cubic
Energy relative to the elements, uncorrected ... -0.513 eV per atom

---

Record 6
Computed, not measured: a geometry-optimized Sr2Be2Pt structure at the PBE level of DFT.

a b c (Å): 5.866 5.866 6.771
angles (deg): 90.00 90.00 90.00
Fractional coordinates of all 10 atoms:
1 Sr 0.000 0.500 0.250
2 Sr 0.000 0.500 0.750
3 Sr 0.500 0.000 0.250
4 Sr 0.500 0.000 0.750
5 Be 0.000 0.000 0.157
6 Be 0.000 0.000 0.843
7 Be 0.500 0.500 0.343
8 Be 0.500 0.500 0.657
9 Pt 0.000 0.000 0.500
10 Pt 0.500 0.500 0.000

Crystal system ... tetragonal
Relative energy among the computed polymorphs ... 0 meV/atom

---

Record 7
Computed, not measured: a geometry-optimized MgOs2Br structure at the PBE level of DFT.

a b c (Å): 2.901 4.600 9.904
angles (deg): 90.00 90.00 90.00
Fractional coordinates of all 8 atoms:
1 Mg 0.000 0.000 0.000
2 Mg 0.500 0.500 0.500
3 Os 0.000 0.500 0.233
4 Os 0.000 0.500 0.767
5 Os 0.500 0.000 0.267
6 Os 0.500 0.000 0.733
7 Br 0.000 0.000 0.500
8 Br 0.500 0.500 0.000

Crystal system ... orthorhombic
Relative energy among the computed polymorphs ... 531 meV/atom
Energy relative to the elements, uncorrected ... 0.786 eV per atom

---

Record 8
Computed, not measured: a geometry-optimized Cs12Se5I3 structure at the PBE level of DFT.

a b c (Å): 18.830 18.830 18.830
angles (deg): 109.47 109.47 109.47
Fractional coordinates of all 80 atoms:
1 Cs 0.034 0.209 0.122
2 Cs 0.034 0.325 0.913
3 Cs 0.087 0.622 0.413
4 Cs 0.087 0.709 0.675
5 Cs 0.087 0.878 0.413
6 Cs 0.087 0.966 0.675
7 Cs 0.122 0.034 0.209
8 Cs 0.122 0.587 0.913
9 Cs 0.175 0.209 0.587
10 Cs 0.175 0.466 0.587
11 Cs 0.209 0.122 0.034
12 Cs 0.209 0.587 0.175
13 Cs 0.291 0.325 0.913
14 Cs 0.291 0.466 0.378
15 Cs 0.325 0.913 0.034
16 Cs 0.325 0.913 0.291
17 Cs 0.378 0.291 0.466
18 Cs 0.378 0.587 0.913
19 Cs 0.413 0.087 0.622
20 Cs 0.413 0.087 0.878
21 Cs 0.413 0.825 0.534
22 Cs 0.413 0.825 0.791
23 Cs 0.466 0.378 0.291
24 Cs 0.466 0.587 0.175
25 Cs 0.534 0.413 0.825
26 Cs 0.534 0.622 0.709
27 Cs 0.587 0.175 0.209
28 Cs 0.587 0.175 0.466
29 Cs 0.587 0.913 0.122
30 Cs 0.587 0.913 0.378
31 Cs 0.622 0.413 0.087
32 Cs 0.622 0.709 0.534
33 Cs 0.675 0.087 0.709
34 Cs 0.675 0.087 0.966
35 Cs 0.709 0.534 0.622
36 Cs 0.709 0.675 0.087
37 Cs 0.791 0.413 0.825
38 Cs 0.791 0.878 0.966
39 Cs 0.825 0.534 0.413
40 Cs 0.825 0.791 0.413
41 Cs 0.878 0.413 0.087
42 Cs 0.878 0.966 0.791
43 Cs 0.913 0.034 0.325
44 Cs 0.913 0.122 0.587
45 Cs 0.913 0.291 0.325
46 Cs 0.913 0.378 0.587
47 Cs 0.966 0.675 0.087
48 Cs 0.966 0.791 0.878
49 Se 0.000 0.000 0.000
50 Se 0.000 0.000 0.500
51 Se 0.000 0.500 0.000
52 Se 0.000 0.500 0.500
53 Se 0.125 0.750 0.875
54 Se 0.125 0.875 0.250
55 Se 0.250 0.125 0.875
56 Se 0.250 0.625 0.375
57 Se 0.375 0.250 0.625
58 Se 0.375 0.625 0.750
59 Se 0.500 0.000 0.000
60 Se 0.500 0.000 0.500
61 Se 0.500 0.500 0.000
62 Se 0.500 0.500 0.500
63 Se 0.625 0.375 0.250
64 Se 0.625 0.750 0.375
65 Se 0.750 0.375 0.625
66 Se 0.750 0.875 0.125
67 Se 0.875 0.125 0.750
68 Se 0.875 0.250 0.125
69 I 0.125 0.250 0.375
70 I 0.125 0.375 0.750
71 I 0.250 0.375 0.125
72 I 0.250 0.875 0.625
73 I 0.375 0.125 0.250
74 I 0.375 0.750 0.125
75 I 0.625 0.250 0.875
76 I 0.625 0.875 0.750
77 I 0.750 0.125 0.375
78 I 0.750 0.625 0.875
79 I 0.875 0.625 0.250
80 I 0.875 0.750 0.625

Crystal system ... cubic
Energy relative to the elements, uncorrected ... -1.083 eV per atom

---

Record 9
Computed, not measured: a geometry-optimized KPmCuI5 structure at the PBE level of DFT.

a b c (Å): 8.340 8.340 11.444
angles (deg): 103.98 103.98 106.06
Fractional coordinates of all 16 atoms:
1 K 0.135 0.865 0.750
2 K 0.865 0.135 0.250
3 Pm 0.500 0.500 0.000
4 Pm 0.500 0.500 0.500
5 Cu 0.189 0.811 0.250
6 Cu 0.811 0.189 0.750
7 I 0.109 0.259 0.935
8 I 0.171 0.579 0.371
9 I 0.259 0.109 0.435
10 I 0.406 0.594 0.750
11 I 0.421 0.829 0.129
12 I 0.579 0.171 0.871
13 I 0.594 0.406 0.250
14 I 0.741 0.891 0.565
15 I 0.829 0.421 0.629
16 I 0.891 0.741 0.065

Crystal system ... monoclinic
Energy relative to the elements, uncorrected ... -1.083 eV per atom

---

Record 10
Computed, not measured: a geometry-optimized Sm2BiTe structure at the PBE level of DFT.

a b c (Å): 4.514 4.514 21.975
angles (deg): 90.00 90.00 120.00
Fractional coordinates of all 12 atoms:
1 Sm 0.000 0.000 0.250
2 Sm 0.000 0.000 0.750
3 Sm 0.333 0.667 0.416
4 Sm 0.333 0.667 0.917
5 Sm 0.667 0.333 0.083
6 Sm 0.667 0.333 0.584
7 Bi 0.000 0.000 0.000
8 Bi 0.333 0.667 0.667
9 Bi 0.667 0.333 0.333
10 Te 0.000 0.000 0.500
11 Te 0.333 0.667 0.167
12 Te 0.667 0.333 0.833

Crystal system ... trigonal
Relative energy among the computed polymorphs ... 3 meV/atom
Energy relative to the elements, uncorrected ... -1.173 eV per atom

---

Record 11
Computed, not measured: a geometry-optimized LaAg2Hg structure at the PBE level of DFT.

a b c (Å): 6.261 10.689 3.363
angles (deg): 90.00 117.76 90.00
Fractional coordinates of all 8 atoms:
1 La 0.000 0.000 0.000
2 La 0.500 0.500 0.000
3 Ag 0.250 0.250 0.500
4 Ag 0.250 0.750 0.500
5 Ag 0.750 0.250 0.500
6 Ag 0.750 0.750 0.500
7 Hg 0.000 0.500 0.000
8 Hg 0.500 0.000 0.000

Crystal system ... monoclinic

---

Record 12
Computed, not measured: a geometry-optimized TaCuPPb2 structure at the PBE level of DFT.

a b c (Å): 5.447 5.447 4.832
angles (deg): 90.00 90.00 90.00
Fractional coordinates of all 5 atoms:
1 Ta 0.000 0.000 0.000
2 Cu 0.500 0.500 0.000
3 P 0.000 0.000 0.500
4 Pb 0.000 0.500 0.500
5 Pb 0.500 0.000 0.500

Crystal system ... tetragonal
Relative energy among the computed polymorphs ... 267 meV/atom

---

Record 13
Computed, not measured: a geometry-optimized MnAlP2 structure at the PBE level of DFT.

a b c (Å): 3.494 3.494 9.876
angles (deg): 90.00 90.00 90.00
Fractional coordinates of all 8 atoms:
1 Mn 0.000 0.000 0.000
2 Mn 0.500 0.500 0.500
3 Al 0.000 0.500 0.250
4 Al 0.500 0.000 0.750
5 P 0.000 0.000 0.500
6 P 0.000 0.500 0.750
7 P 0.500 0.000 0.250
8 P 0.500 0.500 0.000

Crystal system ... tetragonal

---

Record 14
Computed, not measured: a geometry-optimized YHRh3 structure at the PBE level of DFT.

a b c (Å): 3.818 3.818 6.442
angles (deg): 90.00 90.00 90.00
Fractional coordinates of all 5 atoms:
1 Y 0.000 0.000 0.000
2 H 0.500 0.500 0.305
3 Rh 0.000 0.000 0.605
4 Rh 0.000 0.500 0.325
5 Rh 0.500 0.000 0.325

Crystal system ... tetragonal
Relative energy among the computed polymorphs ... 727 meV/atom

---

Record 15
Computed, not measured: a geometry-optimized Ce4Pr2Sn3N2 structure at the PBE level of DFT.

a b c (Å): 13.609 13.609 13.609
angles (deg): 159.91 159.91 28.55
Fractional coordinates of all 11 atoms:
1 Ce 0.084 0.584 0.500
2 Ce 0.416 0.916 0.500
3 Ce 0.584 0.084 0.500
4 Ce 0.916 0.416 0.500
5 Pr 0.196 0.196 0.000
6 Pr 0.804 0.804 0.000
7 Sn 0.324 0.324 0.000
8 Sn 0.500 0.500 0.000
9 Sn 0.676 0.676 0.000
10 N 0.102 0.102 0.000
11 N 0.898 0.898 0.000

Crystal system ... tetragonal
Energy relative to the elements, uncorrected ... -0.910 eV per atom

---

Record 16
Computed, not measured: a geometry-optimized Sm8Zn2Tc structure at the PBE level of DFT.

a b c (Å): 8.693 8.693 8.693
angles (deg): 146.42 121.41 69.25
Fractional coordinates of all 11 atoms:
1 Sm 0.117 0.345 0.772
2 Sm 0.122 0.122 0.000
3 Sm 0.334 0.000 0.334
4 Sm 0.427 0.655 0.772
5 Sm 0.573 0.345 0.228
6 Sm 0.666 0.000 0.666
7 Sm 0.878 0.878 0.000
8 Sm 0.883 0.655 0.228
9 Zn 0.304 0.804 0.500
10 Zn 0.696 0.196 0.500
11 Tc 0.000 0.500 0.500

Crystal system ... orthorhombic
Relative energy among the computed polymorphs ... 95 meV/atom

---

Record 17
Computed, not measured: a geometry-optimized ScAl2Rh structure at the PBE level of DFT.

a b c (Å): 14.609 7.107 5.312
angles (deg): 90.00 90.00 90.00
Fractional coordinates of all 32 atoms:
1 Sc 0.100 0.250 0.227
2 Sc 0.138 0.750 0.457
3 Sc 0.362 0.250 0.957
4 Sc 0.400 0.750 0.727
5 Sc 0.600 0.250 0.273
6 Sc 0.638 0.750 0.043
7 Sc 0.862 0.250 0.543
8 Sc 0.900 0.750 0.773
9 Al 0.039 0.055 0.738
10 Al 0.039 0.445 0.738
11 Al 0.214 0.548 0.930
12 Al 0.214 0.952 0.930
13 Al 0.286 0.048 0.430
14 Al 0.286 0.452 0.430
15 Al 0.461 0.555 0.238
16 Al 0.461 0.945 0.238
17 Al 0.539 0.055 0.762
18 Al 0.539 0.445 0.762
19 Al 0.714 0.548 0.570
20 Al 0.714 0.952 0.570
21 Al 0.786 0.048 0.070
22 Al 0.786 0.452 0.070
23 Al 0.961 0.555 0.262
24 Al 0.961 0.945 0.262
25 Rh 0.073 0.750 0.985
26 Rh 0.187 0.250 0.697
27 Rh 0.313 0.750 0.197
28 Rh 0.427 0.250 0.485
29 Rh 0.573 0.750 0.515
30 Rh 0.687 0.250 0.803
31 Rh 0.813 0.750 0.303
32 Rh 0.927 0.250 0.015

Crystal system ... orthorhombic

---

Record 18
Computed, not measured: a geometry-optimized Pr2Tm12Sc structure at the PBE level of DFT.

a b c (Å): 3.534 5.423 24.314
angles (deg): 90.00 91.20 90.00
Fractional coordinates of all 15 atoms:
1 Pr 0.215 0.000 0.278
2 Pr 0.785 0.000 0.722
3 Tm 0.203 0.000 0.126
4 Tm 0.228 0.500 0.939
5 Tm 0.241 0.500 0.446
6 Tm 0.261 0.000 0.569
7 Tm 0.277 0.500 0.667
8 Tm 0.296 0.500 0.802
9 Tm 0.704 0.500 0.198
10 Tm 0.723 0.500 0.333
11 Tm 0.739 0.000 0.431
12 Tm 0.759 0.500 0.554
13 Tm 0.772 0.500 0.061
14 Tm 0.797 0.000 0.874
15 Sc 0.500 0.000 0.000

Crystal system ... monoclinic

---

Record 19
Computed, not measured: a geometry-optimized Li2Zn3Cd2 structure at the PBE level of DFT.

a b c (Å): 3.963 20.635 3.004
angles (deg): 90.00 90.00 90.00
Fractional coordinates of all 14 atoms:
1 Li 0.000 0.131 0.000
2 Li 0.000 0.869 0.000
3 Li 0.500 0.369 0.000
4 Li 0.500 0.631 0.000
5 Zn 0.000 0.000 0.000
6 Zn 0.000 0.436 0.500
7 Zn 0.000 0.564 0.500
8 Zn 0.500 0.064 0.500
9 Zn 0.500 0.500 0.000
10 Zn 0.500 0.936 0.500
11 Cd 0.000 0.300 0.500
12 Cd 0.000 0.700 0.500
13 Cd 0.500 0.200 0.500
14 Cd 0.500 0.800 0.500

Crystal system ... orthorhombic
Relative energy among the computed polymorphs ... 55 meV/atom

---

Number 1: total DFT energy (no corrections) -10.5 eV for the cell shown. Number 2: total DFT energy (no corrections) -41.3 eV for the cell shown. Number 3: total DFT energy (no corrections) -32.5 eV for the cell shown. Number 4: total DFT energy (no corrections) -57.6 eV for the cell shown. Number 5: total DFT energy (no corrections) -20.8 eV for the cell shown. Number 6: total DFT energy (no corrections) -33.2 eV for the cell shown. Number 7: total DFT energy (no corrections) -45.2 eV for the cell shown. Number 8: total DFT energy (no corrections) -215.9 eV for the cell shown. Number 9: total DFT energy (no corrections) -52.7 eV for the cell shown. Number 10: total DFT energy (no corrections) -63.5 eV for the cell shown. Number 11: total DFT energy (no corrections) -21.8 eV for the cell shown. Number 12: total DFT energy (no corrections) -23.9 eV for the cell shown. Number 13: total DFT energy (no corrections) -46.8 eV for the cell shown. Number 14: total DFT energy (no corrections) -30.7 eV for the cell shown. Number 15: total DFT energy (no corrections) -72.0 eV for the cell shown. Number 16: total DFT energy (no corrections) -50.5 eV for the cell shown. Number 17: total DFT energy (no corrections) -195.6 eV for the cell shown. Number 18: total DFT energy (no corrections) -67.6 eV for the cell shown. Number 19: total DFT energy (no corrections) -20.2 eV for the cell shown.